Entry from Alexandria via LeMat-Bulk: a geometry-optimized BiSb2Mo structure (PBE).

Geometry as POSCAR:
```
BiSb2Mo
1.0
6.555 0.000 0.000
0.000 6.555 0.000
3.278 3.278 6.510
Mo Sb Bi
2 4 2
Direct
0.500 0.500 0.000
0.250 0.750 0.500
0.875 0.815 0.750
0.185 0.625 0.250
0.565 0.125 0.250
0.375 0.435 0.750
0.000 0.000 0.000
0.750 0.250 0.500
```

## Properties
**Crystal system**: tetragonal



Entry from Alexandria via LeMat-Bulk: a geometry-optimized BiSb2Mo structure (PBE).

Geometry as POSCAR:
```
BiSb2Mo
1.0
-0.159 -0.375 -3.424
2.588 -2.275 0.129
-5.209 -5.876 0.885
Sb Mo Bi
2 1 1
Direct
0.000 0.000 0.197
0.000 0.000 0.803
0.500 0.500 0.000
0.500 0.500 0.500
```

## Properties
**Crystal system**: tetragonal



Entry from Alexandria via LeMat-Bulk: a geometry-optimized BiSbMo structure (PBE).

Geometry as POSCAR:
```
BiSbMo
1.0
-4.018 -0.031 -4.143
-2.831 -1.647 6.778
-1.242 6.882 1.154
Bi Mo Sb
4 4 4
Direct
0.800 0.600 0.416
0.200 0.400 0.584
0.700 0.400 0.916
0.300 0.600 0.084
0.108 0.215 0.938
0.608 0.215 0.562
0.392 0.785 0.438
0.892 0.785 0.062
0.204 0.908 0.750
0.704 0.908 0.750
0.796 0.092 0.250
0.296 0.092 0.250
```

## Properties
**Crystal system**: orthorhombic



Calculated raw formation energy, 627; 157; 352 meV per atom (same order as the records).
Calculated V, 34.97; 23.48; 23.70 Å³ per atom (same order as the records).